The following is a GGA-PBE calculation of a relaxed structure of NdErPd3, from the Alexandria database.

Computed properties:
D(E_F) ... 11.5 states/eV per cell
Symmetry ... P2_1/c (14)
Energy of formation ... -0.811 eV/atom

Lattice parameters (Å, degrees): 9.1453 5.8107 8.3249 90.00 100.90 90.00
Fractional coordinates of all 20 atoms:
Nd 0.1144 0.0931 0.2202
Nd 0.1144 0.4069 0.7202
Nd 0.8856 0.5931 0.2798
Nd 0.8856 0.9069 0.7798
Er 0.4406 0.7214 0.6249
Er 0.4406 0.7786 0.1249
Er 0.5594 0.2214 0.8751
Er 0.5594 0.2786 0.3751
Pd 0.1164 0.6566 0.0356
Pd 0.1164 0.8434 0.5356
Pd 0.2566 0.5415 0.3452
Pd 0.2566 0.9585 0.8452
Pd 0.3477 0.1958 0.5749
Pd 0.3477 0.3042 0.0749
Pd 0.6523 0.6958 0.9251
Pd 0.6523 0.8042 0.4251
Pd 0.7434 0.0415 0.1548
Pd 0.7434 0.4585 0.6548
Pd 0.8836 0.1566 0.4644
Pd 0.8836 0.3434 0.9644

The following is a GGA-PBE calculation of a relaxed structure of Nd3ErPd3, from the Alexandria database.

Computed properties:
D(E_F) ... 11.9 states/eV per cell
Symmetry ... C2/m (12)
Energy of formation ... -0.626 eV/atom

Lattice parameters (Å, degrees): 7.1256 7.1256 7.2616 91.25 91.25 97.27
Fractional coordinates of all 14 atoms:
Nd 0.1750 0.8250 0.0000
Nd 0.2550 0.7450 0.5000
Nd 0.3470 0.3470 0.1298
Nd 0.6530 0.6530 0.8702
Nd 0.7450 0.2550 0.5000
Nd 0.8250 0.1750 0.0000
Er 0.2528 0.2528 0.6257
Er 0.7472 0.7472 0.3743
Pd 0.0274 0.4963 0.7838
Pd 0.0631 0.0631 0.3144
Pd 0.4963 0.0274 0.7838
Pd 0.5037 0.9726 0.2162
Pd 0.9369 0.9369 0.6856
Pd 0.9726 0.5037 0.2162

The following is a GGA-PBE calculation of a relaxed structure of NdEr5Pd4, from the Alexandria database.

Computed properties:
D(E_F) ... 8.6 states/eV per cell
Symmetry ... P4/mmm (123)
Energy of formation ... -0.726 eV/atom

Lattice parameters (Å, degrees): 3.4983 3.4983 19.1601 90.00 90.00 90.00
Fractional coordinates of all 10 atoms:
Nd 0.0000 0.0000 0.0000
Er 0.5000 0.5000 0.1407
Er 0.5000 0.5000 0.3188
Er 0.5000 0.5000 0.5000
Er 0.5000 0.5000 0.6812
Er 0.5000 0.5000 0.8592
Pd 0.0000 0.0000 0.2272
Pd 0.0000 0.0000 0.4087
Pd 0.0000 0.0000 0.5913
Pd 0.0000 0.0000 0.7728

The following is a GGA-PBE calculation of a relaxed structure of Nd2Er2Pd15, from the Alexandria database.

Computed properties:
D(E_F) ... 16.5 states/eV per cell
Symmetry ... R-3m (166)
Energy of formation ... -0.579 eV/atom

Lattice parameters (Å, degrees): 7.1238 7.1238 7.1238 80.89 80.89 80.89
Fractional coordinates of all 19 atoms:
Nd 0.1404 0.1404 0.1404
Nd 0.8596 0.8596 0.8596
Er 0.3921 0.3921 0.3921
Er 0.6079 0.6079 0.6079
Pd 0.0000 0.5000 0.5000
Pd 0.1503 0.1503 0.6577
Pd 0.1503 0.6577 0.1503
Pd 0.1957 0.5000 0.8043
Pd 0.1957 0.8043 0.5000
Pd 0.3423 0.8497 0.8497
Pd 0.5000 0.0000 0.5000
Pd 0.5000 0.1957 0.8043
Pd 0.5000 0.5000 0.0000
Pd 0.5000 0.8043 0.1957
Pd 0.6577 0.1503 0.1503
Pd 0.8043 0.1957 0.5000
Pd 0.8043 0.5000 0.1957
Pd 0.8497 0.3423 0.8497
Pd 0.8497 0.8497 0.3423

The following is a GGA-PBE calculation of a relaxed structure of Nd2ErPd9, from the Alexandria database.

Computed properties:
D(E_F) ... 8.5 states/eV per cell
Symmetry ... P4/mmm (123)
Energy of formation ... -0.806 eV/atom

Lattice parameters (Å, degrees): 4.1792 4.1792 12.4670 90.00 90.00 90.00
Fractional coordinates of all 12 atoms:
Nd 0.0000 0.0000 0.1706
Nd 0.0000 0.0000 0.8294
Er 0.0000 0.0000 0.5000
Pd 0.0000 0.5000 0.0000
Pd 0.0000 0.5000 0.3398
Pd 0.0000 0.5000 0.6602
Pd 0.5000 0.0000 0.0000
Pd 0.5000 0.0000 0.3398
Pd 0.5000 0.0000 0.6602
Pd 0.5000 0.5000 0.1686
Pd 0.5000 0.5000 0.5000
Pd 0.5000 0.5000 0.8314

The following is a GGA-PBE calculation of a relaxed structure of Nd12Er3Pd5, from the Alexandria database.

Computed properties:
D(E_F) ... 123.2 states/eV per cell
Symmetry ... Ia-3d (230)
Energy of formation ... 0.156 eV/atom

Lattice parameters (Å, degrees): 15.5462 15.5462 15.5462 109.47 109.47 109.47
Fractional coordinates of all 80 atoms:
Nd 0.0321 0.2086 0.1112
Nd 0.0321 0.3235 0.9208
Nd 0.0792 0.6112 0.4026
Nd 0.0792 0.9679 0.6765
Nd 0.0974 0.7086 0.6765
Nd 0.0974 0.8888 0.4208
Nd 0.1112 0.0321 0.2086
Nd 0.1112 0.5792 0.9026
Nd 0.1765 0.2086 0.5974
Nd 0.1765 0.4679 0.5792
Nd 0.2086 0.1112 0.0321
Nd 0.2086 0.5974 0.1765
Nd 0.2914 0.3235 0.9026
Nd 0.2914 0.4679 0.3888
Nd 0.3235 0.9026 0.2914
Nd 0.3235 0.9208 0.0321
Nd 0.3888 0.2914 0.4679
Nd 0.3888 0.5974 0.9208
Nd 0.4026 0.0792 0.6112
Nd 0.4026 0.8235 0.7914
Nd 0.4208 0.0974 0.8888
Nd 0.4208 0.8235 0.5321
Nd 0.4679 0.3888 0.2914
Nd 0.4679 0.5792 0.1765
Nd 0.5321 0.4208 0.8235
Nd 0.5321 0.6112 0.7086
Nd 0.5792 0.1765 0.4679
Nd 0.5792 0.9026 0.1112
Nd 0.5974 0.1765 0.2086
Nd 0.5974 0.9208 0.3888
Nd 0.6112 0.4026 0.0792
Nd 0.6112 0.7086 0.5321
Nd 0.6765 0.0792 0.9679
Nd 0.6765 0.0974 0.7086
Nd 0.7086 0.5321 0.6112
Nd 0.7086 0.6765 0.0974
Nd 0.7914 0.4026 0.8235
Nd 0.7914 0.8888 0.9679
Nd 0.8235 0.5321 0.4208
Nd 0.8235 0.7914 0.4026
Nd 0.8888 0.4208 0.0974
Nd 0.8888 0.9679 0.7914
Nd 0.9026 0.1112 0.5792
Nd 0.9026 0.2914 0.3235
Nd 0.9208 0.0321 0.3235
Nd 0.9208 0.3888 0.5974
Nd 0.9679 0.6765 0.0792
Nd 0.9679 0.7914 0.8888
Er 0.1250 0.2500 0.3750
Er 0.1250 0.3750 0.7500
Er 0.2500 0.3750 0.1250
Er 0.2500 0.8750 0.6250
Er 0.3750 0.1250 0.2500
Er 0.3750 0.7500 0.1250
Er 0.6250 0.2500 0.8750
Er 0.6250 0.8750 0.7500
Er 0.7500 0.1250 0.3750
Er 0.7500 0.6250 0.8750
Er 0.8750 0.6250 0.2500
Er 0.8750 0.7500 0.6250
Pd 0.0000 0.0000 0.0000
Pd 0.0000 0.0000 0.5000
Pd 0.0000 0.5000 0.0000
Pd 0.0000 0.5000 0.5000
Pd 0.1250 0.7500 0.8750
Pd 0.1250 0.8750 0.2500
Pd 0.2500 0.1250 0.8750
Pd 0.2500 0.6250 0.3750
Pd 0.3750 0.2500 0.6250
Pd 0.3750 0.6250 0.7500
Pd 0.5000 0.0000 0.0000
Pd 0.5000 0.0000 0.5000
Pd 0.5000 0.5000 0.0000
Pd 0.5000 0.5000 0.5000
Pd 0.6250 0.3750 0.2500
Pd 0.6250 0.7500 0.3750
Pd 0.7500 0.3750 0.6250
Pd 0.7500 0.8750 0.1250
Pd 0.8750 0.1250 0.7500
Pd 0.8750 0.2500 0.1250

The following is a GGA-PBE calculation of a relaxed structure of NdErPdPt, from the Alexandria database.

Computed properties:
Energy relative to the lowest polymorph listed for this composition ... 65 meV/atom
D(E_F) ... 14.5 states/eV per cell
Symmetry ... F-43m (216)
Energy of formation ... -0.984 eV/atom

Lattice parameters (Å, degrees): 7.0924 7.0924 7.0924 90.00 90.00 90.00
Fractional coordinates of all 16 atoms:
Nd 0.0000 0.0000 0.0000
Nd 0.0000 0.5000 0.5000
Nd 0.5000 0.0000 0.5000
Nd 0.5000 0.5000 0.0000
Er 0.0000 0.0000 0.5000
Er 0.0000 0.5000 0.0000
Er 0.5000 0.0000 0.0000
Er 0.5000 0.5000 0.5000
Pd 0.2500 0.2500 0.2500
Pd 0.2500 0.7500 0.7500
Pd 0.7500 0.2500 0.7500
Pd 0.7500 0.7500 0.2500
Pt 0.2500 0.2500 0.7500
Pt 0.2500 0.7500 0.2500
Pt 0.7500 0.2500 0.2500
Pt 0.7500 0.7500 0.7500

The following is a GGA-PBE calculation of a relaxed structure of NdErPdPt, from the Alexandria database.

Computed properties:
Energy relative to the lowest polymorph listed for this composition ... 0 meV/atom
D(E_F) ... 4.9 states/eV per cell
Symmetry ... Amm2 (38)
Energy of formation ... -1.049 eV/atom

Lattice parameters (Å, degrees): 4.5261 3.8110 10.7268 90.00 90.00 90.00
Fractional coordinates of all 8 atoms:
Nd 0.0000 0.0000 0.0000
Nd 0.0000 0.5000 0.5000
Er 0.5000 0.0000 0.7257
Er 0.5000 0.5000 0.2257
Pd 0.5000 0.0000 0.4465
Pd 0.5000 0.5000 0.9465
Pt 0.0000 0.0000 0.2729
Pt 0.0000 0.5000 0.7729

The following is a GGA-PBE calculation of a relaxed structure of NdErPdRu, from the Alexandria database.

Computed properties:
D(E_F) ... 10.5 states/eV per cell
Symmetry ... F-43m (216)
Energy of formation ... -0.544 eV/atom

Lattice parameters (Å, degrees): 6.9886 6.9886 6.9886 90.00 90.00 90.00
Fractional coordinates of all 16 atoms:
Nd 0.0000 0.0000 0.0000
Nd 0.0000 0.5000 0.5000
Nd 0.5000 0.0000 0.5000
Nd 0.5000 0.5000 0.0000
Er 0.0000 0.0000 0.5000
Er 0.0000 0.5000 0.0000
Er 0.5000 0.0000 0.0000
Er 0.5000 0.5000 0.5000
Pd 0.2500 0.2500 0.2500
Pd 0.2500 0.7500 0.7500
Pd 0.7500 0.2500 0.7500
Pd 0.7500 0.7500 0.2500
Ru 0.2500 0.2500 0.7500
Ru 0.2500 0.7500 0.2500
Ru 0.7500 0.2500 0.2500
Ru 0.7500 0.7500 0.7500

The following is a GGA-PBE calculation of a relaxed structure of NdErSi2Pd2, from the Alexandria database.

Computed properties:
D(E_F) ... 4.7 states/eV per cell
Symmetry ... P-3m1 (164)
Formation energy from raw total energies ... -5.50 eV per formula unit

Lattice parameters (Å, degrees): 4.3469 4.3469 7.3474 90.00 90.00 120.00
Fractional coordinates of all 6 atoms:
Nd 0.0000 0.0000 0.0000
Er 0.0000 0.0000 0.5000
Si 0.3333 0.6667 0.2698
Si 0.6667 0.3333 0.7302
Pd 0.3333 0.6667 0.7118
Pd 0.6667 0.3333 0.2882

The following is a GGA-PBE calculation of a relaxed structure of NdErSnPd, from the Alexandria database.

Computed properties:
D(E_F) ... 11.2 states/eV per cell
Symmetry ... F-43m (216)
Energy of formation ... -0.701 eV/atom

Lattice parameters (Å, degrees): 7.3901 7.3901 7.3901 90.00 90.00 90.00
Fractional coordinates of all 16 atoms:
Nd 0.0000 0.0000 0.0000
Nd 0.0000 0.5000 0.5000
Nd 0.5000 0.0000 0.5000
Nd 0.5000 0.5000 0.0000
Er 0.0000 0.0000 0.5000
Er 0.0000 0.5000 0.0000
Er 0.5000 0.0000 0.0000
Er 0.5000 0.5000 0.5000
Sn 0.2500 0.2500 0.2500
Sn 0.2500 0.7500 0.7500
Sn 0.7500 0.2500 0.7500
Sn 0.7500 0.7500 0.2500
Pd 0.2500 0.2500 0.7500
Pd 0.2500 0.7500 0.2500
Pd 0.7500 0.2500 0.2500
Pd 0.7500 0.7500 0.7500

The following is a GGA-PBE calculation of a relaxed structure of Nd2ErSn3Pd4, from the Alexandria database.

Computed properties:
D(E_F) ... 7.1 states/eV per cell
Symmetry ... P-4m2 (115)
Energy of formation ... -0.808 eV/atom

Lattice parameters (Å, degrees): 4.5839 4.5839 11.1041 90.00 90.00 90.00
Fractional coordinates of all 10 atoms:
Nd 0.0000 0.5000 0.2225
Nd 0.5000 0.0000 0.7775
Er 0.0000 0.0000 0.5000
Sn 0.0000 0.5000 0.8746
Sn 0.5000 0.0000 0.1254
Sn 0.5000 0.5000 0.5000
Pd 0.0000 0.0000 0.0000
Pd 0.0000 0.5000 0.6412
Pd 0.5000 0.0000 0.3588
Pd 0.5000 0.5000 0.0000

Question: What is the D(E_F) in the seventh record?
Answer: 14.5 states/eV per cell